<w>
Density functional theory data (PBEsol) for a relaxed structure of ZrZnP2.

Cell: 3.6773 3.6773 17.9155 Å, 90.00 90.00 120.00°
Space group R-3m (No. 166, hexagonal axes)
Unique sites:
Zr1 0.0000 0.0000 0.0000 (multiplicity 3)
Zn1 0.0000 0.0000 0.5000 (multiplicity 3)
P1 0.0000 0.0000 0.2466 (multiplicity 6)

Density   5.2 g/cm³
Magnetization   0.00 μB per cell

---

<x>
Density functional theory data (PBEsol) for a relaxed structure of ZrZnP2.

Cell: 3.671 3.671 9.300 Å, 90.00 90.00 90.00°
Space group I-4m2 (No. 119)
Unique sites:
Zr1 0.000 0.000 0.000 (multiplicity 2)
Zn1 0.000 0.500 0.750 (multiplicity 2)
P1 0.000 0.000 0.500 (multiplicity 2)
P2 0.000 0.500 0.250 (multiplicity 2)

Density   5.8 g/cm³
Magnetization   0.00 μB per cell

---

Last place for stability: <x>

---

<w>
Density functional theory data (PBEsol) for a relaxed structure of Zr4P.

Cell: 3.653 3.653 15.999 Å, 90.00 90.00 90.00°
Space group I4/mmm (No. 139)
Unique sites:
Zr1 0.000 0.000 0.085 (multiplicity 4)
Zr2 0.000 0.500 0.250 (multiplicity 4)
P1 0.000 0.000 0.500 (multiplicity 2)

Density   6.2 g/cm³
Magnetization   0.00 μB per cell

---

<x>
Density functional theory data (PBEsol) for a relaxed structure of Zr4P.

Cell: 7.815 7.815 3.288 Å, 90.00 90.00 90.00°
Space group I4/m (No. 87)
Unique sites:
Zr1 0.074 0.278 0.000 (multiplicity 8)
P1 0.000 0.000 0.500 (multiplicity 2)

Density   6.5 g/cm³
Magnetization   0.00 μB per cell

---

Last place for stability: <w>

---

<w>
Density functional theory data (PBEsol) for a relaxed structure of Pb.

Cell: 3.4542 3.4542 5.6965 Å, 90.00 90.00 120.00°
Space group P6_3/mmc (No. 194)
Unique sites:
Pb1 0.3333 0.6667 0.2500 (multiplicity 2)

Density   11.7 g/cm³
Magnetization   0.00 μB per cell

---

<x>
Density functional theory data (PBEsol) for a relaxed structure of Pb.

Cell: 3.894 3.894 3.894 Å, 90.00 90.00 90.00°
Space group Im-3m (No. 229)
Unique sites:
Pb1 0.000 0.000 0.000 (multiplicity 2)

Density   11.7 g/cm³
Magnetization   0.00 μB per cell

---

Last place for stability: <x>

---

<w>
Density functional theory data (PBEsol) for a relaxed structure of Pb.

Cell: 3.505 3.505 4.838 Å, 90.00 90.00 90.00°
Space group I4/mmm (No. 139)
Unique sites:
Pb1 0.000 0.000 0.000 (multiplicity 2)

Density   11.6 g/cm³
Magnetization   0.00 μB per cell

---

<x>
Density functional theory data (PBEsol) for a relaxed structure of Pb.

Cell: 6.083 3.455 8.664 Å, 90.00 102.18 90.00°
Space group C2/m (No. 12)
Unique sites:
Pb1 0.000 0.000 0.000 (multiplicity 2)
Pb2 0.222 0.000 0.670 (multiplicity 4)

Density   11.6 g/cm³
Magnetization   0.00 μB per cell

---

Last place for stability: <x>

---

<w>
Density functional theory data (PBEsol) for a relaxed structure of TaPdPb3.

Cell: 5.185 5.185 5.185 Å, 90.00 90.00 90.00°
Space group Pm-3m (No. 221)
Unique sites:
Ta1 0.000 0.000 0.000 (multiplicity 1)
Pd1 0.500 0.500 0.500 (multiplicity 1)
Pb1 0.000 0.500 0.500 (multiplicity 3)

Density   10.8 g/cm³
Magnetization   2.66 μB per cell

---

<x>
Density functional theory data (PBEsol) for a relaxed structure of TaPdPb3.

Cell: 5.368 5.368 5.368 Å, 90.00 90.00 90.00°
Space group Pm-3m (No. 221)
Unique sites:
Ta1 0.000 0.000 0.000 (multiplicity 1)
Pd1 0.500 0.500 0.500 (multiplicity 1)
Pb1 0.000 0.000 0.500 (multiplicity 3)

Density   9.8 g/cm³
Magnetization   0.00 μB per cell

---

Last place for stability: <w>

---

<w>
Density functional theory data (PBEsol) for a relaxed structure of PtPb3.

Cell: 3.428 3.428 8.409 Å, 90.00 90.00 90.00°
Space group P4/mmm (No. 123)
Unique sites:
Pt1 0.000 0.000 0.000 (multiplicity 1)
Pb1 0.000 0.000 0.500 (multiplicity 1)
Pb2 0.500 0.500 0.200 (multiplicity 2)

Density   13.7 g/cm³
Magnetization   0.00 μB per cell

---

<x>
Density functional theory data (PBEsol) for a relaxed structure of PtPb3.

Cell: 7.163 8.800 6.408 Å, 90.00 90.00 90.00°
Space group Pnma (No. 62)
Unique sites:
Pt1 0.116 0.250 0.038 (multiplicity 4)
Pb1 0.008 0.750 0.384 (multiplicity 4)
Pb2 0.186 0.558 0.845 (multiplicity 8)

Density   13.4 g/cm³
Magnetization   0.00 μB per cell

---

<y>
Density functional theory data (PBEsol) for a relaxed structure of PtPb3.

Cell: 3.641 6.436 8.899 Å, 90.00 90.00 90.00°
Space group Pmmn (No. 59, origin choice 2)
Unique sites:
Pt1 0.250 0.250 0.181 (multiplicity 2)
Pb1 0.250 0.004 0.660 (multiplicity 4)
Pb2 0.250 0.750 0.057 (multiplicity 2)

Density   13.0 g/cm³
Magnetization   0.00 μB per cell

---

Last place for stability: <w>